Entry 1:
LaPmNdAl: optimized geometry, PBE.

The magnetic moment is 0.0000 μB per atom. Its distance to the lowest polymorph of the same formula is 0.000 eV/atom.

Cell and atoms, written as POSCAR:
```
LaPmNdAl
1.0
-1.486 -4.605 0.069
4.350 -1.427 -1.570
0.148 2.578 5.525
Al Pm Nd La
1 1 1 1
direct
0.250 0.750 0.500 Al
0.000 0.000 0.000 Pm
0.500 0.500 0.000 Nd
0.750 0.250 0.500 La
```

***

Entry 2:
La3Pr2TmS6: optimized geometry, PBE.

The magnetic moment is 0.0000 μB per atom. The calculation puts the raw total energy at -6.5470 eV per atom.

Cell and atoms, written as POSCAR:
```
La3Pr2TmS6
1.0
-0.793 4.254 -5.609
0.719 -6.988 -0.916
-6.594 0.184 2.567
S Pr La Tm
6 2 3 1
direct
0.762 0.762 0.242 S
0.079 0.398 0.238 S
0.238 0.238 0.758 S
0.398 0.079 0.238 S
0.921 0.602 0.762 S
0.602 0.921 0.762 S
0.333 0.667 0.000 Pr
0.667 0.333 0.000 Pr
0.172 0.828 0.500 La
0.828 0.172 0.500 La
0.500 0.500 0.500 La
0.000 0.000 0.000 Tm
```

***

Entry 3:
TlBPd5: optimized geometry, PBE.

The magnetic moment is 0.0000 μB per atom. The calculation puts the raw total energy at -5.1230 eV per atom.

Cell and atoms, written as POSCAR:
```
TlBPd5
1.0
3.904 0.000 0.000
0.000 3.904 0.000
0.000 0.000 7.024
Pd Tl B
5 1 1
direct
0.500 0.500 0.500 Pd
0.000 0.500 0.813 Pd
0.000 0.500 0.187 Pd
0.500 0.000 0.187 Pd
0.500 0.000 0.813 Pd
0.000 0.000 0.500 Tl
0.500 0.500 0.000 B
```

***

Entry 4:
Cd2PdAu2: optimized geometry, PBE.

The magnetic moment is 0.0000 μB per atom. Its distance to the lowest polymorph of the same formula is 0.122 eV/atom.

Cell and atoms, written as POSCAR:
```
Cd2PdAu2
1.0
-4.291 3.500 4.678
1.766 -4.756 5.178
2.900 2.189 1.022
Au Cd Pd
4 4 2
direct
0.364 0.864 0.000 Au
0.136 0.364 0.000 Au
0.864 0.636 0.000 Au
0.636 0.136 0.000 Au
0.832 0.332 0.500 Cd
0.332 0.168 0.500 Cd
0.668 0.832 0.500 Cd
0.168 0.668 0.500 Cd
0.500 0.500 0.000 Pd
0.000 0.000 0.000 Pd
```

***

Entry 5:
ZrTe2H: optimized geometry, PBE.

The magnetic moment is 0.0000 μB per atom. Its distance to the lowest polymorph of the same formula is 0.687 eV/atom.

Cell and atoms, written as POSCAR:
```
ZrTe2H
1.0
0.000 3.517 3.517
3.517 0.000 3.517
3.517 3.517 0.000
Te Zr H
2 1 1
direct
0.750 0.750 0.750 Te
0.250 0.250 0.250 Te
0.500 0.500 0.500 Zr
0.000 0.000 0.000 H
```

***

Entry 6:
Cs4RbCd3Br12: optimized geometry, PBE.

The magnetic moment is 0.0001 μB per atom. The calculation puts the raw total energy at -2.5955 eV per atom.

Cell and atoms, written as POSCAR:
```
Cs4RbCd3Br12
1.0
-6.270 7.784 -1.335
-4.840 -8.605 -2.054
3.196 -0.141 9.563
Br Cd Cs Rb
12 3 4 1
direct
0.000 0.726 0.726 Br
0.274 0.274 0.000 Br
0.750 0.250 0.500 Br
0.500 0.250 0.750 Br
0.274 0.000 0.274 Br
0.726 0.726 0.000 Br
0.500 0.750 0.250 Br
0.250 0.750 0.500 Br
0.250 0.500 0.750 Br
0.750 0.500 0.250 Br
0.000 0.274 0.274 Br
0.726 0.000 0.726 Br
0.500 0.500 0.000 Cd
0.000 0.500 0.500 Cd
0.500 0.000 0.500 Cd
0.500 0.500 0.500 Cs
0.500 0.000 0.000 Cs
0.000 0.000 0.500 Cs
0.000 0.500 0.000 Cs
0.000 0.000 0.000 Rb
```

***

Entry 7:
CsScI4: optimized geometry, PBE.

The magnetic moment is 0.0000 μB per atom. Its distance to the lowest polymorph of the same formula is 0.000 eV/atom.

Cell and atoms, written as POSCAR:
```
CsScI4
1.0
-8.265 7.488 -4.331
3.521 -3.799 -5.565
-3.492 -8.023 5.456
I Cs Sc
8 2 2
direct
0.200 0.564 0.614 I
0.086 0.950 0.386 I
0.350 0.140 0.864 I
0.014 0.724 0.864 I
0.986 0.276 0.136 I
0.800 0.436 0.386 I
0.914 0.050 0.614 I
0.650 0.860 0.136 I
0.265 0.515 0.031 Cs
0.735 0.485 0.969 Cs
0.067 0.817 0.635 Sc
0.933 0.183 0.365 Sc
```

***

Entry 8:
MnCo4Cu: optimized geometry, PBE.

The magnetic moment is 1.6477 μB per atom. The calculation puts the raw total energy at -6.7824 eV per atom.

Cell and atoms, written as POSCAR:
```
MnCo4Cu
1.0
-0.636 -4.129 2.091
-4.258 -1.247 1.462
-2.324 -3.401 -2.204
Co Cu Mn
4 1 1
direct
0.875 0.375 0.375 Co
0.375 0.875 0.375 Co
0.375 0.375 0.875 Co
0.375 0.375 0.375 Co
0.750 0.750 0.750 Cu
0.000 0.000 0.000 Mn
```